Here is a relaxed RbAs crystal from the Alexandria database. Energies are from PBE.

abc: 12.6767 12.6767 4.4704
angles: 90.00 90.00 90.00
Last column: nearest neighbours and their distance in Å.
Sites, in units of the cell vectors:
Rb1 0.6789 0.3272 0.5000  5 As 3.45-3.84
Rb2 0.3211 0.6728 0.5000  5 As 3.45-3.84
Rb3 0.6728 0.6789 0.5000  5 As 3.45-3.84
Rb4 0.3272 0.3211 0.5000  5 As 3.45-3.84
Rb5 0.0015 0.7210 0.0000  4 As 3.40-3.77
Rb6 0.9985 0.2790 0.0000  4 As 3.40-3.77
Rb7 0.2790 0.0015 0.0000  4 As 3.40-3.77
Rb8 0.7210 0.9985 0.0000  4 As 3.40-3.77
As1 0.9075 0.5417 0.5000  3 As 2.57-2.59
As2 0.0925 0.4583 0.5000  3 As 2.57-2.59
As3 0.4583 0.9075 0.5000  3 As 2.57-2.59
As4 0.5417 0.0925 0.5000  3 As 2.57-2.59
As5 0.8224 0.4837 0.0000  2 As 2.59
As6 0.1776 0.5163 0.0000  2 As 2.59
As7 0.5163 0.8224 0.0000  2 As 2.59
As8 0.4837 0.1776 0.0000  2 As 2.59

Results
polymorph energy (0 for the lowest one)	153	meV per atom
DFT formation energy	-279	meV per atom

---

Here is a relaxed HfAu3F crystal from the Alexandria database. Energies are from PBE.

abc: 5.2495 5.2495 5.2495
angles: 90.00 90.00 90.00
Last column: nearest neighbours and their distance in Å.
Sites, in units of the cell vectors:
Hf1 0.0000 0.0000 0.0000  6 Au 2.62
Au1 0.0000 0.5000 0.0000  2 Hf 2.62
Au2 0.0000 0.0000 0.5000  2 Hf 2.62
Au3 0.5000 0.0000 0.0000  2 Hf 2.62
F1 0.5000 0.5000 0.5000  12 Au 3.71

Results
formation energy from raw total energies	2.68	eV per formula unit

---

Here is a relaxed SrScTeO6 crystal from the Alexandria database. Energies are from PBE.

abc: 5.4679 5.4679 10.5429
angles: 90.00 90.00 120.00
Last column: nearest neighbours and their distance in Å.
Sites, in units of the cell vectors:
Sr1 0.0000 0.0000 0.0000  6 O 2.56
Sr2 0.0000 0.0000 0.5000  6 O 2.56
Sc1 0.6667 0.3333 0.2500  6 O 2.13
Sc2 0.3333 0.6667 0.7500  6 O 2.13
Te1 0.3333 0.6667 0.2500  6 O 1.95
Te2 0.6667 0.3333 0.7500  6 O 1.95
O1 0.6146 0.6394 0.1469  1 Te 1.95, 1 Sc 2.13
O2 0.0248 0.3854 0.1469  1 Te 1.95, 1 Sc 2.13
O3 0.3854 0.0248 0.6469  1 Te 1.95, 1 Sc 2.13
O4 0.9752 0.6146 0.8531  1 Te 1.95, 1 Sc 2.13
O5 0.3606 0.3854 0.3531  1 Te 1.95, 1 Sc 2.13
O6 0.0248 0.6394 0.3531  1 Te 1.95, 1 Sc 2.13
O7 0.6394 0.0248 0.8531  1 Te 1.95, 1 Sc 2.13
O8 0.6146 0.9752 0.3531  1 Te 1.95, 1 Sc 2.13
O9 0.9752 0.3606 0.6469  1 Te 1.95, 1 Sc 2.13
O10 0.3606 0.9752 0.1469  1 Te 1.95, 1 Sc 2.13
O11 0.6394 0.6146 0.6469  1 Te 1.95, 1 Sc 2.13
O12 0.3854 0.3606 0.8531  1 Te 1.95, 1 Sc 2.13

Results
formation energy from raw total energies	-18.77	eV per formula unit

---

Here is a relaxed Ac8Os3SeCl4 crystal from the Alexandria database. Energies are from PBE.

abc: 8.8325 9.3425 8.8321
angles: 118.23 120.00 90.00
Last column: nearest neighbours and their distance in Å.
Sites, in units of the cell vectors:
Ac1 0.2454 0.7040 0.9588  2 Os 2.94, 1 Se 3.15
Ac2 0.2454 0.7039 0.4907  2 Os 2.94, 1 Se 3.15
Ac3 0.2637 0.2914 0.5274  3 Os 3.03
Ac4 0.7134 0.7040 0.9588  2 Os 2.94, 1 Se 3.15
Ac5 0.2866 0.2960 0.0412  2 Os 2.94, 1 Se 3.15
Ac6 0.7363 0.7086 0.4726  3 Os 3.03
Ac7 0.7546 0.2961 0.5093  2 Os 2.94, 1 Se 3.15
Ac8 0.7546 0.2960 0.0412  2 Os 2.94, 1 Se 3.15
Os1 0.5000 0.5000 0.0000  6 Ac 2.94-3.03
Os2 0.5000 0.5000 0.5000  6 Ac 2.94-3.03
Os3 0.0000 0.5000 0.5000  6 Ac 2.94-3.03
Se1 0.0000 0.5000 0.0000  6 Ac 3.15
Cl1 0.5000 0.0000 0.0000  6 Ac 3.32-3.33
Cl2 0.5000 0.0000 0.5000  6 Ac 3.42-3.51
Cl3 0.0000 0.0000 0.0000  6 Ac 3.42-3.51
Cl4 0.0000 0.0000 0.5000  6 Ac 3.42-3.51

Results
formation energy from raw total energies	-16.50	eV per formula unit

---

Spin magnetization list, top to bottom, in μB per cell: 0.0 0.0 2.1 0.0